The following is a DFT calculation (PBE) of a relaxed SrPPbCl2 crystal.

Unit cell a=5.3912 b=5.3912 c=6.2790 alpha=90.00 beta=90.00 gamma=90.00
Closest atoms and distances in Å follow each position.
Positions (direct):
Sr (0.0000, 0.0000, 0.0000)  4 Cl 2.70
P (0.0000, 0.0000, 0.5000)  2 Sr 3.14
Pb (0.5000, 0.5000, 0.5000)  4 P 3.81, 8 Cl 4.14
Cl (0.0000, 0.5000, 0.0000)  2 Sr 2.70
Cl (0.5000, 0.0000, 0.0000)  2 Sr 2.70

Summary:
E_form (uncorrected): -0.63 eV per atom
energy above the lowest structure with this stoichiometry: 0.00 eV/f.u.

The following is a DFT calculation (PBE) of a relaxed TcPPbCl2 crystal.

Unit cell a=5.3893 b=5.3893 c=5.7173 alpha=90.00 beta=90.00 gamma=90.00
Closest atoms and distances in Å follow each position.
Positions (direct):
Tc (0.0000, 0.0000, 0.0000)  4 P 3.81, 8 Cl 3.93
P (0.5000, 0.5000, 0.0000)  2 Pb 2.86
Pb (0.5000, 0.5000, 0.5000)  4 Cl 2.69, 2 P 2.86
Cl (0.0000, 0.5000, 0.5000)  2 Pb 2.69
Cl (0.5000, 0.0000, 0.5000)  2 Pb 2.69

Summary:
E_form (uncorrected): 0.90 eV per atom
energy above the lowest structure with this stoichiometry: 4.41 eV/f.u.

The following is a DFT calculation (PBE) of a relaxed TcP2PbCl crystal.

Unit cell a=4.6117 b=4.6117 c=5.9383 alpha=90.00 beta=90.00 gamma=90.00
Closest atoms and distances in Å follow each position.
Positions (direct):
Tc (0.0000, 0.0000, 0.0000)  4 P 2.31
P (0.0000, 0.5000, 0.0000)  2 Tc 2.31
P (0.5000, 0.0000, 0.0000)  2 Tc 2.31
Pb (0.5000, 0.5000, 0.5000)  4 Cl 3.26
Cl (0.0000, 0.0000, 0.5000)  2 Tc 2.97, 4 Pb 3.26

Summary:
E_form (uncorrected): 0.20 eV per atom
energy above the lowest structure with this stoichiometry: 0.00 eV/f.u.

The following is a DFT calculation (PBE) of a relaxed TcPPbCl2 crystal.

Unit cell a=4.9551 b=4.9551 c=4.6290 alpha=90.00 beta=90.00 gamma=90.00
Closest atoms and distances in Å follow each position.
Positions (direct):
Tc (0.0000, 0.0000, 0.0000)  2 P 2.31, 4 Cl 2.48
P (0.0000, 0.0000, 0.5000)  2 Tc 2.31
Pb (0.5000, 0.5000, 0.5000)  8 Cl 3.39, 4 P 3.50
Cl (0.0000, 0.5000, 0.0000)  2 Tc 2.48
Cl (0.5000, 0.0000, 0.0000)  2 Tc 2.48

Summary:
E_form (uncorrected): 0.01 eV per atom
energy above the lowest structure with this stoichiometry: 0.00 eV/f.u.

The following is a DFT calculation (PBE) of a relaxed TcP2PbCl crystal.

Unit cell a=5.2620 b=5.2620 c=5.2497 alpha=90.00 beta=90.00 gamma=90.00
Closest atoms and distances in Å follow each position.
Positions (direct):
Tc (0.0000, 0.0000, 0.0000)  8 P 3.72, 4 Cl 3.72
P (0.0000, 0.5000, 0.5000)  2 Pb 2.63
P (0.5000, 0.0000, 0.5000)  2 Pb 2.63
Pb (0.5000, 0.5000, 0.5000)  2 Cl 2.62, 4 P 2.63
Cl (0.5000, 0.5000, 0.0000)  2 Pb 2.62

Summary:
E_form (uncorrected): 1.46 eV per atom
energy above the lowest structure with this stoichiometry: 6.33 eV/f.u.

The following is a DFT calculation (PBE) of a relaxed TePPbCl2 crystal.

Unit cell a=5.4090 b=5.4090 c=5.5115 alpha=90.00 beta=90.00 gamma=90.00
Closest atoms and distances in Å follow each position.
Positions (direct):
Te (0.0000, 0.0000, 0.0000)  4 Cl 2.70, 2 P 2.76
P (0.0000, 0.0000, 0.5000)  2 Te 2.76
Pb (0.5000, 0.5000, 0.5000)  4 P 3.82, 8 Cl 3.86
Cl (0.0000, 0.5000, 0.0000)  2 Te 2.70
Cl (0.5000, 0.0000, 0.0000)  2 Te 2.70

Summary:
E_form (uncorrected): 0.19 eV per atom
energy above the lowest structure with this stoichiometry: 0.00 eV/f.u.